# 1
## LiMg5Ga (GGA-PBE)

Data for LiMg5Ga after structural relaxation.

abc: 5.9854 7.6321 7.7663
angles: 119.43 102.20 90.00
Closest atoms and distances in Å follow each position.
Fractional coordinates of all 14 atoms:
Mg1 0.2500 0.3388 0.5000  3 Li 2.96-3.03, 6 Mg 3.08-3.27
Mg2 0.5367 0.7752 0.8636  2 Ga 2.80-2.95, 1 Li 2.82, 3 Mg 3.08-3.12
Mg3 0.9633 0.4116 0.1364  2 Ga 2.80-2.95, 1 Li 2.82, 3 Mg 3.08-3.12
Mg4 0.8766 0.8685 0.2709  2 Li 2.91-3.09, 2 Ga 2.95-3.10, 7 Mg 3.00-3.19
Mg5 0.1234 0.1315 0.7291  2 Li 2.91-3.09, 2 Ga 2.95-3.10, 7 Mg 3.00-3.19
Mg6 0.4633 0.2248 0.1364  2 Ga 2.80-2.95, 1 Li 2.82, 3 Mg 3.08-3.12
Mg7 0.7500 0.6612 0.5000  3 Li 2.96-3.03, 6 Mg 3.08-3.27
Mg8 0.3766 0.9024 0.2709  2 Li 2.91-3.09, 2 Ga 2.95-3.10, 7 Mg 3.00-3.19
Mg9 0.0367 0.5884 0.8636  2 Ga 2.80-2.95, 1 Li 2.82, 3 Mg 3.08-3.12
Mg10 0.6234 0.0976 0.7291  2 Li 2.91-3.09, 2 Ga 2.95-3.10, 7 Mg 3.00-3.19
Ga1 0.5000 0.5000 0.0000  8 Mg 2.80-3.10
Ga2 0.0000 0.0000 0.0000  8 Mg 2.80-3.10
Li1 0.7500 0.2737 0.5000  9 Mg 2.82-3.09
Li2 0.2500 0.7263 0.5000  9 Mg 2.82-3.09

Results
The mass density is 2.2 Mg/m³.

***

# 2
## LiMg3Ga3 (GGA-PBE)

Data for LiMg3Ga3 after structural relaxation.

abc: 4.3327 5.3368 13.0253
angles: 90.00 90.00 113.95
Closest atoms and distances in Å follow each position.
Fractional coordinates of all 14 atoms:
Mg1 0.2073 0.4146 0.8953  6 Ga 2.85-2.97, 1 Li 3.16, 1 Mg 3.18
Mg2 0.2073 0.4146 0.6047  6 Ga 2.85-2.97, 1 Li 3.16, 1 Mg 3.18
Mg3 0.7927 0.5854 0.1047  6 Ga 2.85-2.97, 1 Li 3.16, 1 Mg 3.18
Mg4 0.5307 0.0613 0.2500  7 Ga 2.73-3.05
Mg5 0.4693 0.9387 0.7500  7 Ga 2.73-3.05
Mg6 0.7927 0.5854 0.3953  6 Ga 2.85-2.97, 1 Li 3.16, 1 Mg 3.18
Ga1 0.7492 0.4984 0.7500  2 Ga 2.58, 1 Mg 2.73
Ga2 0.9153 0.8306 0.5956  1 Ga 2.58, 2 Li 2.63, 2 Mg 2.85-2.87
Ga3 0.9153 0.8306 0.9044  1 Ga 2.58, 2 Li 2.63, 2 Mg 2.85-2.87
Ga4 0.0847 0.1694 0.4044  1 Ga 2.58, 2 Li 2.63, 2 Mg 2.85-2.87
Ga5 0.2508 0.5016 0.2500  2 Ga 2.58, 1 Mg 2.73
Ga6 0.0847 0.1694 0.0957  1 Ga 2.58, 2 Li 2.63, 2 Mg 2.85-2.87
Li1 0.5000 0.0000 0.0000  4 Ga 2.63
Li2 0.5000 0.0000 0.5000  4 Ga 2.63

Results
The mass density is 3.5 Mg/m³.

***

# 3
## LiMg3Ga (GGA-PBE)

Data for LiMg3Ga after structural relaxation.

abc: 5.1082 5.1082 5.1082
angles: 90.00 90.00 90.00
Closest atoms and distances in Å follow each position.
Fractional coordinates of all 5 atoms:
Ga1 0.0000 0.0000 0.0000  6 Mg 2.55
Li1 0.5000 0.5000 0.5000  12 Mg 3.61
Mg1 0.5000 0.0000 0.0000  2 Ga 2.55
Mg2 0.0000 0.5000 0.0000  2 Ga 2.55
Mg3 0.0000 0.0000 0.5000  2 Ga 2.55

Results
The mass density is 1.9 Mg/m³.

***

# 4
## Li2Mg2Ga3 (GGA-PBE)

Data for Li2Mg2Ga3 after structural relaxation.

abc: 4.8912 3.9479 8.6236
angles: 89.34 118.96 113.50
Closest atoms and distances in Å follow each position.
Fractional coordinates of all 7 atoms:
Mg1 0.1725 0.0807 0.3853  5 Ga 2.83-2.99, 2 Li 2.91-2.95, 1 Mg 3.08
Mg2 0.8275 0.9193 0.6147  5 Ga 2.83-2.99, 2 Li 2.91-2.95, 1 Mg 3.08
Ga1 0.4194 0.7040 0.2304  2 Ga 2.73-2.74, 4 Li 2.74-2.82, 4 Mg 2.83-2.91
Ga2 0.5806 0.2960 0.7696  2 Ga 2.73-2.74, 4 Li 2.74-2.82, 4 Mg 2.83-2.91
Ga3 0.0000 0.0000 0.0000  4 Ga 2.73-2.74, 6 Li 2.77-2.84, 2 Mg 2.99
Li1 0.7046 0.3497 0.1167  2 Li 2.72-2.74, 7 Ga 2.74-2.84, 2 Mg 2.91-2.95
Li2 0.2954 0.6503 0.8833  2 Li 2.72-2.74, 7 Ga 2.74-2.84, 2 Mg 2.91-2.95

Results
The mass density is 3.5 Mg/m³.

***

ΔE to the lowest computed polymorph, record by record: 0.00; 0.00; 28.21; 0.00 kJ per mole of atoms
DFT total energy, record by record: -1.869; -2.404; -1.786; -2.485 eV per atom
ΔE_f, record by record: -0.02; -0.15; 0.16; -0.19 eV per atom